The following is a DFT calculation (GGA-PBE) of a relaxed TaNb crystal.

Lattice parameters (Å, degrees): 7.4939 7.4939 4.9987 90.00 90.00 120.00
Space group P6_3/m (No. 176)
One atom of each set of equivalent atoms:
Ta 0.0938 0.6020 0.2500
Nb 0.0672 0.8139 0.7500

calculated formation energy: 0.63 eV/atom

The following is a DFT calculation (GGA-PBE) of a relaxed LaHo2S4 crystal.

Lattice parameters (Å, degrees): 3.907 12.924 13.209 90.00 90.00 90.00
Space group Cmcm (No. 63)
One atom of each set of equivalent atoms:
La 0.000 0.121 0.250
Ho 0.000 0.369 0.066
S 0.000 0.000 0.000
S 0.000 0.271 0.619
S 0.000 0.457 0.250

formation energy (no corrections): -2.13 eV per atom

The following is a DFT calculation (GGA-PBE) of a relaxed HoTmPt6 crystal.

Lattice parameters (Å, degrees): 4.100 4.100 8.199 90.00 90.00 90.00
Space group P4/mmm (No. 123)
One atom of each set of equivalent atoms:
Ho 0.000 0.000 0.000
Tm 0.000 0.000 0.500
Pt 0.000 0.500 0.251
Pt 0.500 0.500 0.000
Pt 0.500 0.500 0.500

calculated formation energy: -1.07 eV/atom

The following is a DFT calculation (GGA-PBE) of a relaxed Y7Ir crystal.

Lattice parameters (Å, degrees): 9.628 9.628 9.628 90.00 90.00 90.00
Space group Fm-3m (No. 225)
One atom of each set of equivalent atoms:
Y 0.000 0.000 0.000
Y 0.000 0.250 0.250
Ir 0.000 0.000 0.500

calculated formation energy: 0.05 eV/atom

Computed values of total moment (unit: μB per atom) for the preceding records, in sequence: 0.000; 0.000; 0.000; 0.000.